Entry 1:
First-principles (PBE) data for crystalline SbMoAs2Br at its relaxed geometry, as listed in Alexandria.

Values from the calculation:
**Excess energy over the best structure of this formula in the dataset**: 0.0 meV per atom
**Crystal system**: tetragonal
**Space group**: No. 123
**Formation energy from raw total energies**: 0.4963 eV per atom
**Total moment**: 1.65 μB per cell
**V**: 25.11 A^3/atom

a b c (Å): 4.9274 4.9274 5.1713
angles (deg): 90.00 90.00 90.00
Closest atoms and distances in Å follow each position.
Atoms (fractional coordinates):
As  0.5000  0.0000  0.0000  2 Mo 2.46
As  0.0000  0.5000  0.0000  2 Mo 2.46
Br  0.0000  0.0000  0.5000  2 Mo 2.59
Sb  0.5000  0.5000  0.5000  4 Br 3.48, 8 As 3.57
Mo  0.0000  0.0000  0.0000  4 As 2.46, 2 Br 2.59

***

Entry 2:
First-principles (PBE) data for crystalline SbMoAsBr2 at its relaxed geometry, as listed in Alexandria.

Values from the calculation:
**Excess energy over the best structure of this formula in the dataset**: 0.0 meV per atom
**Crystal system**: tetragonal
**Space group**: No. 123
**Formation energy from raw total energies**: 0.4675 eV per atom
**Total moment**: 2.78 μB per cell
**V**: 26.63 A^3/atom

a b c (Å): 5.1176 5.1176 5.0850
angles (deg): 90.00 90.00 90.00
Closest atoms and distances in Å follow each position.
Atoms (fractional coordinates):
Sb  0.5000  0.5000  0.5000  8 Br 3.61, 4 As 3.62
Br  0.0000  0.5000  0.0000  2 Mo 2.56
Br  0.5000  0.0000  0.0000  2 Mo 2.56
Mo  0.0000  0.0000  0.0000  2 As 2.54, 4 Br 2.56
As  0.0000  0.0000  0.5000  2 Mo 2.54

***

Entry 3:
First-principles (PBE) data for crystalline ScMoAs2Br at its relaxed geometry, as listed in Alexandria.

Values from the calculation:
**Excess energy over the best structure of this formula in the dataset**: 343.5 meV per atom
**Crystal system**: tetragonal
**Space group**: No. 123
**Formation energy from raw total energies**: 0.5637 eV per atom
**Total moment**: 3.66 μB per cell
**V**: 27.00 A^3/atom

a b c (Å): 5.1458 5.1458 5.0990
angles (deg): 90.00 90.00 90.00
Closest atoms and distances in Å follow each position.
Atoms (fractional coordinates):
Mo  0.5000  0.5000  0.5000  8 As 3.62, 4 Br 3.64
Sc  0.0000  0.0000  0.0000  2 Br 2.55, 4 As 2.57
As  0.5000  0.0000  0.0000  2 Sc 2.57
As  0.0000  0.5000  0.0000  2 Sc 2.57
Br  0.0000  0.0000  0.5000  2 Sc 2.55